Record 1
Crystalline SbPd3Pt4 at its relaxed geometry. Source: Alexandria via LeMat-Bulk, functional PBE.

abc: 5.1118 10.3211 6.6115
angles: 90.00 90.00 90.00
Closest atoms and distances in Å follow each position.
Space group Imm2 (No. 44)
One atom of each set of equivalent atoms:
Sb 0.0000 0.0000 0.0000  4 Pt 2.61-2.66
Pd 0.0000 0.3657 0.4480  3 Pt 2.55-2.73, 2 Pd 2.69-2.77
Pd 0.0000 0.5000 0.7975  6 Pt 2.65-2.90, 2 Pd 2.69
Pt 0.0000 0.1292 0.3391  1 Pd 2.55, 1 Sb 2.61, 3 Pt 2.67-2.76
Pt 0.2504 0.0000 0.6482  4 Pt 2.55-2.76, 3 Pd 2.65-2.73, 1 Sb 2.66

Summary:
Total magnetic moment = 0.000 μB/atom
V = 21.80 Å³/atom
Fermi-level density of states = 21.23 states/eV per cell
Offset from the most stable computed form = 527.6 meV per atom
Uncorrected formation energy = 2.893 eV per formula unit

***

Record 2
Crystalline SbPdPt at its relaxed geometry. Source: Alexandria via LeMat-Bulk, functional PBE.

abc: 4.4155 4.4155 20.5007
angles: 90.00 90.00 120.00
Closest atoms and distances in Å follow each position.
Space group R-3m (No. 166, hexagonal axes)
One atom of each set of equivalent atoms:
Sb 0.0000 0.0000 0.0828  4 Pt 2.66-2.67, 3 Pd 2.76
Pd 0.0000 0.0000 0.3652  3 Sb 2.76, 3 Pd 2.86
Pt 0.0000 0.0000 0.2131  4 Sb 2.66-2.67

Summary:
Total magnetic moment = 0.000 μB/atom
V = 19.23 Å³/atom
Fermi-level density of states = 9.61 states/eV per cell
Uncorrected formation energy = -0.913 eV per formula unit

***

Record 3
Crystalline SbPdPt3 at its relaxed geometry. Source: Alexandria via LeMat-Bulk, functional PBE.

abc: 5.7016 5.7016 7.9063
angles: 90.00 90.00 90.00
Closest atoms and distances in Å follow each position.
Space group P4/mmm (No. 123)
One atom of each set of equivalent atoms:
Sb 0.0000 0.0000 0.0000  8 Pt 2.85, 4 Pd 2.85
Sb 0.0000 0.5000 0.5000  8 Pt 2.80, 2 Pd 2.85
Pd 0.0000 0.5000 0.0000  10 Pt 2.85, 2 Sb 2.85
Pd 0.5000 0.5000 0.5000  8 Pt 2.80, 4 Sb 2.85
Pt 0.2496 0.2496 0.2549  3 Sb 2.80-2.85, 3 Pd 2.80-2.85, 5 Pt 2.85-2.86
Pt 0.5000 0.5000 0.0000  4 Pd 2.85, 8 Pt 2.85

Summary:
Total magnetic moment = 0.000 μB/atom
V = 17.13 Å³/atom
Fermi-level density of states = 12.29 states/eV per cell
Offset from the most stable computed form = 0.0 meV per atom
Uncorrected formation energy = -0.977 eV per formula unit

***

Record 4
Crystalline SbPdPt6 at its relaxed geometry. Source: Alexandria via LeMat-Bulk, functional PBE.

abc: 4.0194 4.0194 8.0382
angles: 90.00 90.00 90.00
Closest atoms and distances in Å follow each position.
Space group P4/mmm (No. 123)
One atom of each set of equivalent atoms:
Sb 0.0000 0.0000 0.0000  12 Pt 2.84-2.86
Pd 0.0000 0.0000 0.5000  12 Pt 2.82-2.84
Pt 0.0000 0.5000 0.2539  2 Pd 2.82, 8 Pt 2.82-2.86, 2 Sb 2.86
Pt 0.5000 0.5000 0.0000  4 Sb 2.84, 8 Pt 2.86
Pt 0.5000 0.5000 0.5000  8 Pt 2.82, 4 Pd 2.84

Summary:
Total magnetic moment = 0.000 μB/atom
V = 16.23 Å³/atom
Fermi-level density of states = 12.64 states/eV per cell
Uncorrected formation energy = -0.844 eV per formula unit

***

Record 5
Crystalline SbPdPt at its relaxed geometry. Source: Alexandria via LeMat-Bulk, functional PBE.

abc: 8.2240 4.8330 5.5003
angles: 90.00 90.00 90.00
Closest atoms and distances in Å follow each position.
Space group Pnma (No. 62)
One atom of each set of equivalent atoms:
Sb 0.2434 0.2500 0.0085  4 Pt 2.67-2.78, 4 Pd 2.71-2.90
Pd 0.0689 0.2500 0.5899  4 Sb 2.71-2.90, 2 Pd 2.85, 4 Pt 2.98-3.03
Pt 0.0871 0.7500 0.9219  4 Sb 2.67-2.78, 2 Pt 2.94, 2 Pd 2.98

Summary:
Total magnetic moment = 0.000 μB/atom
V = 18.22 Å³/atom
Fermi-level density of states = 5.50 states/eV per cell
Uncorrected formation energy = -0.998 eV per formula unit

***

Record 6
Crystalline SbPd2Pt3 at its relaxed geometry. Source: Alexandria via LeMat-Bulk, functional PBE.

abc: 5.4823 14.0518 5.6093
angles: 90.00 108.00 90.00
Closest atoms and distances in Å follow each position.
Space group C2/c (No. 15)
One atom of each set of equivalent atoms:
Sb 0.0000 0.0844 0.2500  6 Pt 2.69-2.86, 2 Pd 2.73
Pd 0.0025 0.2508 0.0007  4 Pd 2.72-2.81, 3 Pt 2.73-2.83, 1 Sb 2.73
Pt 0.0000 0.4261 0.7500  4 Pt 2.74-2.76, 2 Sb 2.75, 2 Pd 2.83
Pt 0.2471 0.0945 0.7449  2 Sb 2.69-2.86, 2 Pd 2.73, 4 Pt 2.73-2.76

Summary:
Total magnetic moment = 0.000 μB/atom
V = 17.12 Å³/atom
Fermi-level density of states = 15.93 states/eV per cell
Uncorrected formation energy = -0.765 eV per formula unit

***

Record 7
Crystalline SbPdPt3 at its relaxed geometry. Source: Alexandria via LeMat-Bulk, functional PBE.

abc: 4.9028 4.9028 4.9028
angles: 90.00 90.00 90.00
Closest atoms and distances in Å follow each position.
Space group Pm-3m (No. 221)
One atom of each set of equivalent atoms:
Sb 0.0000 0.0000 0.0000  6 Pt 2.45
Pd 0.5000 0.5000 0.5000  12 Pt 3.47
Pt 0.0000 0.0000 0.5000  2 Sb 2.45

Summary:
Total magnetic moment = 0.000 μB/atom
V = 23.57 Å³/atom
Fermi-level density of states = 7.12 states/eV per cell
Offset from the most stable computed form = 1155.9 meV per atom
Uncorrected formation energy = 4.803 eV per formula unit

***

Record 8
Crystalline SbPd3Pt at its relaxed geometry. Source: Alexandria via LeMat-Bulk, functional PBE.

abc: 7.4574 10.0283 4.8796
angles: 90.00 90.00 90.00
Closest atoms and distances in Å follow each position.
Space group Ima2 (No. 46)
One atom of each set of equivalent atoms:
Sb 0.2500 0.0852 0.0000  5 Pd 2.59-2.75, 1 Pt 2.67
Pd 0.0570 0.1864 0.4035  2 Sb 2.64-2.75, 5 Pd 2.75-2.88, 2 Pt 2.76-2.85
Pd 0.2500 0.5441 0.0415  1 Sb 2.59, 3 Pt 2.73-2.86, 4 Pd 2.78-2.80
Pt 0.2500 0.6794 0.5565  1 Sb 2.67, 7 Pd 2.73-2.86, 2 Pt 2.82

Summary:
Total magnetic moment = 0.000 μB/atom
V = 18.25 Å³/atom
Fermi-level density of states = 14.36 states/eV per cell
Offset from the most stable computed form = 124.9 meV per atom
Uncorrected formation energy = -0.794 eV per formula unit

***

Record 9
Crystalline Sb2PdPt6 at its relaxed geometry. Source: Alexandria via LeMat-Bulk, functional PBE.

abc: 14.0460 5.7477 4.1571
angles: 90.00 107.14 90.00
Closest atoms and distances in Å follow each position.
Space group C2/m (No. 12)
One atom of each set of equivalent atoms:
Sb 0.1567 0.0000 0.1571  8 Pt 2.66-2.96
Pd 0.0000 0.5000 0.0000  10 Pt 2.82-2.85
Pt 0.1016 0.2600 0.6022  2 Sb 2.66, 5 Pt 2.73-2.94, 2 Pd 2.84-2.85
Pt 0.2098 0.5000 0.2096  4 Sb 2.74-2.96, 1 Pd 2.82, 6 Pt 2.89-2.94

Summary:
Total magnetic moment = 0.000 μB/atom
V = 17.82 Å³/atom
Fermi-level density of states = 11.83 states/eV per cell
Offset from the most stable computed form = 0.0 meV per atom
Uncorrected formation energy = -1.404 eV per formula unit

***

Record 10
Crystalline SbPd2Pt4 at its relaxed geometry. Source: Alexandria via LeMat-Bulk, functional PBE.

abc: 4.6541 18.1532 2.8576
angles: 90.00 90.00 90.00
Closest atoms and distances in Å follow each position.
Space group Cmmm (No. 65)
One atom of each set of equivalent atoms:
Sb 0.0000 0.0000 0.0000  8 Pt 2.77-2.81, 2 Sb 2.86
Pd 0.0000 0.2842 0.5000  4 Pd 2.64-2.86, 5 Pt 2.74-2.81
Pt 0.0000 0.1336 0.5000  3 Pd 2.74-2.76, 2 Sb 2.81, 6 Pt 2.86-2.88
Pt 0.0000 0.4173 0.0000  2 Sb 2.77, 2 Pd 2.81, 7 Pt 2.86-3.00

Summary:
Total magnetic moment = 0.000 μB/atom
V = 17.25 Å³/atom
Fermi-level density of states = 18.47 states/eV per cell
Offset from the most stable computed form = 231.5 meV per atom
Uncorrected formation energy = 0.453 eV per formula unit

***

Record 11
Crystalline SbPdPt at its relaxed geometry. Source: Alexandria via LeMat-Bulk, functional PBE.

abc: 6.2134 6.2134 6.2134
angles: 90.00 90.00 90.00
Closest atoms and distances in Å follow each position.
Space group F-43m (No. 216)
One atom of each set of equivalent atoms:
Sb 0.0000 0.0000 0.0000  4 Pd 2.69, 4 Pt 2.69
Pd 0.2500 0.2500 0.7500  4 Sb 2.69
Pt 0.2500 0.2500 0.2500  4 Sb 2.69

Summary:
Total magnetic moment = 0.000 μB/atom
V = 19.99 Å³/atom
Fermi-level density of states = 12.76 states/eV per cell
Uncorrected formation energy = -0.850 eV per formula unit

***

Q: Which of these has the lowest Fermi-level density of states?
A: number 5

***

Q: Among the records above, which one has the lowest Fermi-level density of states?
A: number 5